Entry 1:
Computed, not measured: a relaxed AlTe2Pb crystal at the PBE level of DFT.

## Properties
E_form (uncorrected): -1.1 eV per formula unit

The structure in CIF format:
```
data_AlTe2Pb
_chemical_formula_sum 'Al1 Te2 Pb1'
_space_group_name_H-M_alt 'P 1'
_space_group_IT_number 1
_space_group_name_Hall 'P 1'
_cell_length_a 4.129
_cell_length_b 4.129
_cell_length_c 8.278
_cell_angle_alpha 75.56
_cell_angle_beta 75.56
_cell_angle_gamma 60.00
loop_
_atom_site_label
_atom_site_type_symbol
_atom_site_fract_x
_atom_site_fract_y
_atom_site_fract_z
_atom_site_occupancy
Pb1 Pb 0.496 0.496 0.512 1
Te1 Te 0.268 0.268 0.196 1
Te2 Te 0.070 0.070 0.789 1
Al1 Al 0.666 0.666 0.003 1
```

---

Entry 2:
Computed, not measured: a relaxed Li2TcW crystal at the PBE level of DFT.

## Properties
ΔH_f (0 K): 0.389 eV per atom

The structure in CIF format:
```
data_Li2TcW
_chemical_formula_sum 'Li2 Tc1 W1'
_space_group_name_H-M_alt 'P 1'
_space_group_IT_number 1
_space_group_name_Hall 'P 1'
_cell_length_a 5.285
_cell_length_b 5.285
_cell_length_c 5.285
_cell_angle_alpha 140.55
_cell_angle_beta 140.55
_cell_angle_gamma 57.01
loop_
_atom_site_label
_atom_site_type_symbol
_atom_site_fract_x
_atom_site_fract_y
_atom_site_fract_z
_atom_site_occupancy
Li1 Li 0.500 0.500 0.000 1
W1 W 0.750 0.250 0.500 1
Tc1 Tc 0.250 0.750 0.500 1
Li2 Li 0.000 0.000 0.000 1
```

---

Entry 3:
Computed, not measured: a relaxed Hf2In2Se crystal at the PBE level of DFT.

## Properties
E_form (uncorrected): -1.9 eV per formula unit

The structure in CIF format:
```
data_Hf2In2Se
_chemical_formula_sum 'Hf4 In4 Se2'
_space_group_name_H-M_alt 'P 1'
_space_group_IT_number 1
_space_group_name_Hall 'P 1'
_cell_length_a 6.979
_cell_length_b 6.979
_cell_length_c 4.672
_cell_angle_alpha 90.00
_cell_angle_beta 90.00
_cell_angle_gamma 90.00
loop_
_atom_site_label
_atom_site_type_symbol
_atom_site_fract_x
_atom_site_fract_y
_atom_site_fract_z
_atom_site_occupancy
Se1 Se 0.000 0.000 0.000 1
Se2 Se 0.500 0.500 0.000 1
In1 In 0.849 0.349 0.500 1
In2 In 0.151 0.651 0.500 1
In3 In 0.651 0.849 0.500 1
Hf1 Hf 0.342 0.842 0.000 1
Hf2 Hf 0.842 0.658 0.000 1
Hf3 Hf 0.158 0.342 0.000 1
Hf4 Hf 0.658 0.158 0.000 1
In4 In 0.349 0.151 0.500 1
```

---

Entry 4:
Computed, not measured: a relaxed RbCdMoBr2 crystal at the PBE level of DFT.

## Properties
E_form (uncorrected): 1.2 eV per formula unit

The structure in CIF format:
```
data_RbCdMoBr2
_chemical_formula_sum 'Rb1 Cd1 Mo1 Br2'
_space_group_name_H-M_alt 'P 1'
_space_group_IT_number 1
_space_group_name_Hall 'P 1'
_cell_length_a 5.905
_cell_length_b 5.584
_cell_length_c 5.905
_cell_angle_alpha 90.00
_cell_angle_beta 90.00
_cell_angle_gamma 90.00
loop_
_atom_site_label
_atom_site_type_symbol
_atom_site_fract_x
_atom_site_fract_y
_atom_site_fract_z
_atom_site_occupancy
Cd1 Cd 0.000 0.000 0.000 1
Br1 Br 0.000 0.000 0.500 1
Br2 Br 0.500 0.000 0.000 1
Mo1 Mo 0.000 0.500 0.000 1
Rb1 Rb 0.500 0.500 0.500 1
```

---

Entry 5:
Computed, not measured: a relaxed CaTlAs crystal at the PBE level of DFT.

## Properties
ΔH_f (0 K): -0.397 eV per atom

The structure in CIF format:
```
data_CaTlAs
_chemical_formula_sum 'Ca1 Tl1 As1'
_space_group_name_H-M_alt 'P 1'
_space_group_IT_number 1
_space_group_name_Hall 'P 1'
_cell_length_a 6.472
_cell_length_b 6.244
_cell_length_c 3.803
_cell_angle_alpha 75.91
_cell_angle_beta 69.34
_cell_angle_gamma 34.75
loop_
_atom_site_label
_atom_site_type_symbol
_atom_site_fract_x
_atom_site_fract_y
_atom_site_fract_z
_atom_site_occupancy
Ca1 Ca 0.356 0.356 0.644 1
As1 As 0.997 0.997 0.003 1
Tl1 Tl 0.647 0.647 0.353 1
```

---

Entry 6:
Computed, not measured: a relaxed KNaTeI2 crystal at the PBE level of DFT.

## Properties
E_form (uncorrected): -1.6 eV per formula unit

The structure in CIF format:
```
data_KNaTeI2
_chemical_formula_sum 'K1 Na1 Te1 I2'
_space_group_name_H-M_alt 'P 1'
_space_group_IT_number 1
_space_group_name_Hall 'P 1'
_cell_length_a 6.615
_cell_length_b 6.615
_cell_length_c 6.405
_cell_angle_alpha 90.00
_cell_angle_beta 90.00
_cell_angle_gamma 90.00
loop_
_atom_site_label
_atom_site_type_symbol
_atom_site_fract_x
_atom_site_fract_y
_atom_site_fract_z
_atom_site_occupancy
I1 I 0.000 0.500 0.000 1
I2 I 0.500 0.000 0.000 1
Na1 Na 0.500 0.500 0.500 1
K1 K 0.000 0.000 0.000 1
Te1 Te 0.000 0.000 0.500 1
```

---

Entry 7:
Computed, not measured: a relaxed GdMgSbAu crystal at the PBE level of DFT.

## Properties
E_form (uncorrected): -2.5 eV per formula unit

The structure in CIF format:
```
data_GdMgSbAu
_chemical_formula_sum 'Gd1 Mg1 Sb1 Au1'
_space_group_name_H-M_alt 'P 1'
_space_group_IT_number 1
_space_group_name_Hall 'P 1'
_cell_length_a 5.124
_cell_length_b 5.124
_cell_length_c 5.124
_cell_angle_alpha 60.00
_cell_angle_beta 60.00
_cell_angle_gamma 60.00
loop_
_atom_site_label
_atom_site_type_symbol
_atom_site_fract_x
_atom_site_fract_y
_atom_site_fract_z
_atom_site_occupancy
Sb1 Sb 0.500 0.500 0.500 1
Gd1 Gd 0.750 0.750 0.750 1
Au1 Au 0.000 0.000 0.000 1
Mg1 Mg 0.250 0.250 0.250 1
```

---

Entry 8:
Computed, not measured: a relaxed BaSrIr crystal at the PBE level of DFT.

## Properties
ΔH_f (0 K): -0.183 eV per atom

The structure in CIF format:
```
data_BaSrIr
_chemical_formula_sum 'Ba2 Sr2 Ir2'
_space_group_name_H-M_alt 'P 1'
_space_group_IT_number 1
_space_group_name_Hall 'P 1'
_cell_length_a 4.609
_cell_length_b 6.034
_cell_length_c 9.029
_cell_angle_alpha 102.61
_cell_angle_beta 90.00
_cell_angle_gamma 90.00
loop_
_atom_site_label
_atom_site_type_symbol
_atom_site_fract_x
_atom_site_fract_y
_atom_site_fract_z
_atom_site_occupancy
Sr1 Sr 0.750 0.651 0.151 1
Ba1 Ba 0.750 0.804 0.675 1
Ir1 Ir 0.750 0.071 0.017 1
Ba2 Ba 0.250 0.196 0.325 1
Ir2 Ir 0.250 0.929 0.983 1
Sr2 Sr 0.250 0.349 0.849 1
```

---

Entry 9:
Computed, not measured: a relaxed AcSn2Pb2 crystal at the PBE level of DFT.

## Properties
ΔH_f (0 K): -0.321 eV per atom

The structure in CIF format:
```
data_AcSn2Pb2
_chemical_formula_sum 'Ac2 Sn4 Pb4'
_space_group_name_H-M_alt 'P 1'
_space_group_IT_number 1
_space_group_name_Hall 'P 1'
_cell_length_a 4.770
_cell_length_b 4.812
_cell_length_c 14.030
_cell_angle_alpha 90.00
_cell_angle_beta 99.79
_cell_angle_gamma 90.00
loop_
_atom_site_label
_atom_site_type_symbol
_atom_site_fract_x
_atom_site_fract_y
_atom_site_fract_z
_atom_site_occupancy
Pb1 Pb 0.448 0.750 0.897 1
Sn1 Sn 0.862 0.750 0.725 1
Sn2 Sn 0.138 0.250 0.275 1
Sn3 Sn 0.251 0.750 0.501 1
Ac1 Ac 0.343 0.250 0.686 1
Pb2 Pb 0.050 0.750 0.101 1
Pb3 Pb 0.552 0.250 0.103 1
Pb4 Pb 0.950 0.250 0.899 1
Ac2 Ac 0.657 0.750 0.314 1
Sn4 Sn 0.749 0.250 0.499 1
```

---

Entry 10:
Computed, not measured: a relaxed Hf4ZrN crystal at the PBE level of DFT.

## Properties
E_form (uncorrected): -2.0 eV per formula unit

The structure in CIF format:
```
data_Hf4ZrN
_chemical_formula_sum 'Hf8 Zr2 N2'
_space_group_name_H-M_alt 'P 1'
_space_group_IT_number 1
_space_group_name_Hall 'P 1'
_cell_length_a 5.773
_cell_length_b 5.822
_cell_length_c 7.243
_cell_angle_alpha 90.00
_cell_angle_beta 85.59
_cell_angle_gamma 90.00
loop_
_atom_site_label
_atom_site_type_symbol
_atom_site_fract_x
_atom_site_fract_y
_atom_site_fract_z
_atom_site_occupancy
Hf1 Hf 0.160 0.833 0.563 1
Zr1 Zr 0.000 0.000 0.000 1
Hf2 Hf 0.340 0.333 0.437 1
Zr2 Zr 0.500 0.500 0.000 1
N1 N 0.500 0.000 0.500 1
Hf3 Hf 0.660 0.667 0.563 1
N2 N 0.000 0.500 0.500 1
Hf4 Hf 0.531 0.082 0.794 1
Hf5 Hf 0.840 0.167 0.437 1
Hf6 Hf 0.969 0.582 0.206 1
Hf7 Hf 0.469 0.918 0.206 1
Hf8 Hf 0.031 0.418 0.794 1
```

---

Entry 11:
Computed, not measured: a relaxed Tb5Sm3Cd crystal at the PBE level of DFT.

## Properties
ΔH_f (0 K): 0.412 eV per atom

The structure in CIF format:
```
data_Tb5Sm3Cd
_chemical_formula_sum 'Tb10 Sm6 Cd2'
_space_group_name_H-M_alt 'P 1'
_space_group_IT_number 1
_space_group_name_Hall 'P 1'
_cell_length_a 7.377
_cell_length_b 7.377
_cell_length_c 12.191
_cell_angle_alpha 90.24
_cell_angle_beta 90.24
_cell_angle_gamma 72.68
loop_
_atom_site_label
_atom_site_type_symbol
_atom_site_fract_x
_atom_site_fract_y
_atom_site_fract_z
_atom_site_occupancy
Sm1 Sm 0.000 0.000 0.500 1
Tb1 Tb 0.457 0.457 0.268 1
Tb2 Tb 0.744 0.744 0.952 1
Tb3 Tb 0.256 0.256 0.048 1
Cd1 Cd 0.064 0.064 0.752 1
Tb4 Tb 0.911 0.540 0.199 1
Tb5 Tb 0.673 0.327 0.000 1
Sm2 Sm 0.000 0.000 0.000 1
Sm3 Sm 0.820 0.820 0.683 1
Sm4 Sm 0.180 0.180 0.317 1
Tb6 Tb 0.460 0.089 0.801 1
Tb7 Tb 0.540 0.911 0.199 1
Tb8 Tb 0.089 0.460 0.801 1
Sm5 Sm 0.686 0.686 0.454 1
Tb9 Tb 0.543 0.543 0.732 1
Tb10 Tb 0.327 0.673 0.000 1
Sm6 Sm 0.314 0.314 0.546 1
Cd2 Cd 0.936 0.936 0.248 1
```

---

Entry 12:
Computed, not measured: a relaxed Zr2CuRh crystal at the PBE level of DFT.

## Properties
ΔH_f (0 K): -0.040 eV per atom

The structure in CIF format:
```
data_Zr2CuRh
_chemical_formula_sum 'Zr4 Cu2 Rh2'
_space_group_name_H-M_alt 'P 1'
_space_group_IT_number 1
_space_group_name_Hall 'P 1'
_cell_length_a 7.315
_cell_length_b 7.315
_cell_length_c 5.895
_cell_angle_alpha 51.65
_cell_angle_beta 51.65
_cell_angle_gamma 90.00
loop_
_atom_site_label
_atom_site_type_symbol
_atom_site_fract_x
_atom_site_fract_y
_atom_site_fract_z
_atom_site_occupancy
Zr1 Zr 0.375 0.363 0.750 1
Zr2 Zr 0.875 0.887 0.750 1
Cu1 Cu 0.250 0.750 0.500 1
Zr3 Zr 0.113 0.625 0.250 1
Rh1 Rh 0.000 0.000 0.000 1
Zr4 Zr 0.637 0.125 0.250 1
Rh2 Rh 0.750 0.250 0.500 1
Cu2 Cu 0.500 0.500 0.000 1
```